Record 1
CeLuThPa | PBE | optimized geometry

Summary:
Electronic total energy (eV per atom): -6.5362
V (A^3/atom): 28.6
DOS(E_F) (states/eV/atom): 2.965

Cell lengths 7.710, 7.710, 7.710 Å; angles 90.00, 90.00, 90.00 degrees
Space group F-43m (No. 216)
Symmetry-distinct sites (fractional):
Ce 0.000 0.000 0.000 (multiplicity 4)
Lu 0.250 0.250 0.250 (multiplicity 4)
Th 0.000 0.000 0.500 (multiplicity 4)
Pa 0.250 0.250 0.750 (multiplicity 4)



Record 2
KSc2ZnN | PBE | optimized geometry

Summary:
Electronic total energy (eV per atom): -2.2504
Formation energy (no corrections) (eV per atom): 2.422
V (A^3/atom): 26.7
DOS(E_F) (states/eV/atom): 1.185

Cell lengths 5.200, 5.200, 4.932 Å; angles 90.00, 90.00, 90.00 degrees
Space group P4/mmm (No. 123)
Symmetry-distinct sites (fractional):
K 0.000 0.000 0.000 (multiplicity 1)
Sc 0.000 0.500 0.000 (multiplicity 2)
Zn 0.000 0.000 0.500 (multiplicity 1)
N 0.500 0.500 0.500 (multiplicity 1)



Record 3
CsRbTeI2 | PBE | optimized geometry

Summary:
Electronic total energy (eV per atom): -2.1137
Formation energy (no corrections) (eV per atom): -0.501
V (A^3/atom): 71.8
DOS(E_F) (states/eV/atom): 1.582

Cell lengths 7.224, 7.224, 6.879 Å; angles 90.00, 90.00, 90.00 degrees
Space group P4/mmm (No. 123)
Symmetry-distinct sites (fractional):
Cs 0.000 0.000 0.000 (multiplicity 1)
Rb 0.500 0.500 0.500 (multiplicity 1)
Te 0.000 0.000 0.500 (multiplicity 1)
I 0.000 0.500 0.000 (multiplicity 2)



Record 4
K2TcSnRu | PBE | optimized geometry

Summary:
Electronic total energy (eV per atom): -3.6418
V (A^3/atom): 35.7
DOS(E_F) (states/eV/atom): 1.136

Cell lengths 5.903, 5.903, 5.120 Å; angles 90.00, 90.00, 90.00 degrees
Space group P4/mmm (No. 123)
Symmetry-distinct sites (fractional):
K 0.000 0.500 0.000 (multiplicity 2)
Tc 0.000 0.000 0.500 (multiplicity 1)
Sn 0.500 0.500 0.500 (multiplicity 1)
Ru 0.500 0.500 0.000 (multiplicity 1)



Record 5
LaMgS2O8 | PBE | optimized geometry

Summary:
Electronic total energy (eV per atom): -6.4292
Formation energy (no corrections) (eV per atom): -1.892
V (A^3/atom): 13.9
DOS(E_F) (states/eV/atom): 0.347

Cell lengths 5.2632, 5.2632, 6.9580 Å; angles 90.00, 90.00, 120.00 degrees
Space group P-3m1 (No. 164)
Symmetry-distinct sites (fractional):
La 0.0000 0.0000 0.0000 (multiplicity 1)
Mg 0.0000 0.0000 0.5000 (multiplicity 1)
S 0.3333 0.6667 0.2434 (multiplicity 2)
O 0.1734 0.3468 0.3038 (multiplicity 6)
O 0.3333 0.6667 0.0280 (multiplicity 2)



Record 6
TbSi3Ir5 | PBE | optimized geometry

Summary:
Electronic total energy (eV per atom): -7.8941
Formation energy (no corrections) (eV per atom): -0.649
V (A^3/atom): 16.6
DOS(E_F) (states/eV/atom): 0.555

Cell lengths 3.903, 12.362, 12.371 Å; angles 90.00, 90.00, 90.00 degrees
Space group Cmcm (No. 63)
Symmetry-distinct sites (fractional):
Tb 0.000 0.156 0.250 (multiplicity 4)
Si 0.000 0.124 0.750 (multiplicity 4)
Si 0.000 0.386 0.543 (multiplicity 8)
Ir 0.000 0.000 0.000 (multiplicity 4)
Ir 0.000 0.205 0.575 (multiplicity 8)
Ir 0.000 0.448 0.147 (multiplicity 8)



Record 7
TiAlCo2Cu | PBE | optimized geometry

Summary:
Electronic total energy (eV per atom): -4.8909
V (A^3/atom): 16.9
DOS(E_F) (states/eV/atom): 0.928

Cell lengths 4.166, 4.166, 4.882 Å; angles 90.00, 90.00, 90.00 degrees
Space group P4/mmm (No. 123)
Symmetry-distinct sites (fractional):
Ti 0.000 0.000 0.000 (multiplicity 1)
Al 0.000 0.000 0.500 (multiplicity 1)
Co 0.000 0.500 0.000 (multiplicity 2)
Cu 0.500 0.500 0.500 (multiplicity 1)



Record 8
PrNdPdAu | PBE | optimized geometry

Summary:
Electronic total energy (eV per atom): -5.2329
V (A^3/atom): 25.1
DOS(E_F) (states/eV/atom): 0.780

Cell lengths 7.375, 7.375, 7.375 Å; angles 90.00, 90.00, 90.00 degrees
Space group F-43m (No. 216)
Symmetry-distinct sites (fractional):
Pr 0.000 0.000 0.000 (multiplicity 4)
Nd 0.000 0.000 0.500 (multiplicity 4)
Pd 0.250 0.250 0.750 (multiplicity 4)
Au 0.250 0.250 0.250 (multiplicity 4)



Record 9
CdHgPd6 | PBE | optimized geometry

Summary:
Electronic total energy (eV per atom): -4.2081
V (A^3/atom): 16.5
DOS(E_F) (states/eV/atom): 1.771

Cell lengths 4.035, 4.035, 8.108 Å; angles 90.00, 90.00, 90.00 degrees
Space group P4/mmm (No. 123)
Symmetry-distinct sites (fractional):
Cd 0.000 0.000 0.000 (multiplicity 1)
Hg 0.000 0.000 0.500 (multiplicity 1)
Pd 0.000 0.500 0.248 (multiplicity 4)
Pd 0.500 0.500 0.000 (multiplicity 1)
Pd 0.500 0.500 0.500 (multiplicity 1)



Record 10
Er5Te5N2 | PBE | optimized geometry

Summary:
Electronic total energy (eV per atom): -5.9308
Formation energy (no corrections) (eV per atom): -1.333
V (A^3/atom): 26.4
DOS(E_F) (states/eV/atom): 0.305

Cell lengths 15.326, 3.983, 10.377 Å; angles 90.00, 90.27, 90.00 degrees
Space group C2/m (No. 12)
Symmetry-distinct sites (fractional):
Er 0.000 0.000 0.000 (multiplicity 2)
Er 0.094 0.000 0.698 (multiplicity 4)
Er 0.105 0.500 0.244 (multiplicity 4)
Te 0.000 0.500 0.500 (multiplicity 2)
Te 0.144 0.500 0.940 (multiplicity 4)
Te 0.248 0.000 0.361 (multiplicity 4)
N 0.034 0.000 0.213 (multiplicity 4)



Record 11
La2Nd4Y2Er | PBE | optimized geometry

Summary:
Electronic total energy (eV per atom): -5.1511
V (A^3/atom): 34.5
DOS(E_F) (states/eV/atom): 1.409

Cell lengths 19.089, 3.692, 9.785 Å; angles 90.00, 115.65, 90.00 degrees
Space group C2/m (No. 12)
Symmetry-distinct sites (fractional):
La 0.165 0.000 0.499 (multiplicity 4)
Nd 0.019 0.000 0.834 (multiplicity 4)
Nd 0.185 0.500 0.834 (multiplicity 4)
Y 0.147 0.500 0.166 (multiplicity 4)
Er 0.000 0.500 0.500 (multiplicity 2)



Record 12
PuMnTc2 | PBE | optimized geometry

Summary:
Electronic total energy (eV per atom): -10.6101
V (A^3/atom): 16.3
DOS(E_F) (states/eV/atom): 1.827

Cell lengths 2.8575, 2.8575, 27.5923 Å; angles 90.00, 90.00, 120.00 degrees
Space group R-3m (No. 166, hexagonal axes)
Symmetry-distinct sites (fractional):
Pu 0.0000 0.0000 0.0000 (multiplicity 3)
Mn 0.0000 0.0000 0.5000 (multiplicity 3)
Tc 0.0000 0.0000 0.0943 (multiplicity 6)



Record 13
LiTbI4 | PBE | optimized geometry

Summary:
Electronic total energy (eV per atom): -3.4181
Formation energy (no corrections) (eV per atom): -1.294
V (A^3/atom): 43.1
DOS(E_F) (states/eV/atom): 0.000

Cell lengths 8.646, 19.077, 7.576 Å; angles 90.00, 124.17, 90.00 degrees
Space group C2/c (No. 15)
Symmetry-distinct sites (fractional):
Li 0.000 0.080 0.250 (multiplicity 4)
Tb 0.000 0.427 0.750 (multiplicity 4)
I 0.244 0.174 0.246 (multiplicity 8)
I 0.247 0.452 0.238 (multiplicity 8)



Record 14
KBeAs2Se | PBE | optimized geometry

Summary:
Electronic total energy (eV per atom): -1.6944
Formation energy (no corrections) (eV per atom): 1.827
V (A^3/atom): 33.4
DOS(E_F) (states/eV/atom): 1.207

Cell lengths 5.502, 5.502, 5.509 Å; angles 90.00, 90.00, 90.00 degrees
Space group P4/mmm (No. 123)
Symmetry-distinct sites (fractional):
K 0.000 0.000 0.000 (multiplicity 1)
Be 0.500 0.500 0.500 (multiplicity 1)
As 0.000 0.500 0.000 (multiplicity 2)
Se 0.000 0.000 0.500 (multiplicity 1)



Record 15
CeHoCu | PBE | optimized geometry

Summary:
Electronic total energy (eV per atom): -4.9096
V (A^3/atom): 24.6
DOS(E_F) (states/eV/atom): 1.818

Cell lengths 3.457, 3.457, 12.367 Å; angles 90.00, 90.00, 90.00 degrees
Space group I4mm (No. 107)
Symmetry-distinct sites (fractional):
Ce 0.000 0.000 0.000 (multiplicity 2)
Ho 0.000 0.000 0.715 (multiplicity 2)
Cu 0.000 0.000 0.347 (multiplicity 2)



Record 16
YTm5Ru3 | PBE | optimized geometry

Summary:
Electronic total energy (eV per atom): -6.5266
V (A^3/atom): 27.3
DOS(E_F) (states/eV/atom): 0.290

Cell lengths 12.173, 8.895, 9.850 Å; angles 90.00, 112.71, 90.00 degrees
Space group C2/m (No. 12)
Symmetry-distinct sites (fractional):
Y 0.105 0.000 0.302 (multiplicity 4)
Tm 0.000 0.302 0.000 (multiplicity 4)
Tm 0.071 0.500 0.370 (multiplicity 4)
Tm 0.164 0.199 0.671 (multiplicity 8)
Tm 0.232 0.000 0.032 (multiplicity 4)
Ru 0.000 0.000 0.000 (multiplicity 2)
Ru 0.000 0.000 0.500 (multiplicity 2)
Ru 0.161 0.500 0.670 (multiplicity 4)
Ru 0.168 0.500 0.168 (multiplicity 4)



Record 17
Sr3Ag6Sb5 | PBE | optimized geometry

Summary:
Electronic total energy (eV per atom): -3.5228
Formation energy (no corrections) (eV per atom): -0.468
V (A^3/atom): 26.0
DOS(E_F) (states/eV/atom): 0.328

Cell lengths 4.630, 13.914, 11.310 Å; angles 90.00, 90.00, 90.00 degrees
Space group Pmmn (No. 59, origin choice 2)
Symmetry-distinct sites (fractional):
Sr 0.250 0.076 0.248 (multiplicity 4)
Sr 0.250 0.750 0.243 (multiplicity 2)
Ag 0.250 0.075 0.618 (multiplicity 4)
Ag 0.250 0.250 0.016 (multiplicity 2)
Ag 0.250 0.250 0.479 (multiplicity 2)
Ag 0.250 0.594 0.992 (multiplicity 4)
Sb 0.250 0.085 0.862 (multiplicity 4)
Sb 0.250 0.618 0.519 (multiplicity 4)
Sb 0.250 0.750 0.827 (multiplicity 2)



Record 18
SrTcO3 | PBE | optimized geometry

Summary:
Electronic total energy (eV per atom): -7.4179
Formation energy (no corrections) (eV per atom): -2.033
V (A^3/atom): 12.6
DOS(E_F) (states/eV/atom): 0.606

Cell lengths 3.982, 3.982, 3.982 Å; angles 90.00, 90.00, 90.00 degrees
Space group Pm-3m (No. 221)
Symmetry-distinct sites (fractional):
Sr 0.000 0.000 0.000 (multiplicity 1)
Tc 0.500 0.500 0.500 (multiplicity 1)
O 0.000 0.500 0.500 (multiplicity 3)



Record 19
VZnH | PBE | optimized geometry

Summary:
Electronic total energy (eV per atom): -4.4940
V (A^3/atom): 10.7
DOS(E_F) (states/eV/atom): 0.741

Cell lengths 2.571, 2.571, 9.711 Å; angles 90.00, 90.00, 90.00 degrees
Space group I4mm (No. 107)
Symmetry-distinct sites (fractional):
V 0.000 0.000 0.000 (multiplicity 2)
Zn 0.000 0.000 0.282 (multiplicity 2)
H 0.000 0.000 0.557 (multiplicity 2)



Record 20
K2SrP | PBE | optimized geometry

Summary:
Electronic total energy (eV per atom): -2.6486
V (A^3/atom): 44.5
DOS(E_F) (states/eV/atom): 0.351

Cell lengths 4.221, 4.221, 9.983 Å; angles 90.00, 90.00, 90.00 degrees
Space group P4mm (No. 99)
Symmetry-distinct sites (fractional):
K 0.000 0.000 0.000 (multiplicity 1)
K 0.500 0.500 0.377 (multiplicity 1)
Sr 0.500 0.500 0.707 (multiplicity 1)
P 0.000 0.000 0.645 (multiplicity 1)



Record 21
LiScPaRh | PBE | optimized geometry

Summary:
Electronic total energy (eV per atom): -6.4740
V (A^3/atom): 19.5
DOS(E_F) (states/eV/atom): 1.505

Cell lengths 6.779, 6.779, 6.779 Å; angles 90.00, 90.00, 90.00 degrees
Space group F-43m (No. 216)
Symmetry-distinct sites (fractional):
Li 0.000 0.000 0.000 (multiplicity 4)
Sc 0.250 0.250 0.250 (multiplicity 4)
Pa 0.250 0.250 0.750 (multiplicity 4)
Rh 0.000 0.000 0.500 (multiplicity 4)



Record 22
Tb7Er3Tm2 | PBE | optimized geometry

Summary:
Electronic total energy (eV per atom): -4.4963
V (A^3/atom): 31.4
DOS(E_F) (states/eV/atom): 1.272

Cell lengths 5.736, 3.547, 18.541 Å; angles 90.00, 93.66, 90.00 degrees
Space group P2/m (No. 10)
Symmetry-distinct sites (fractional):
Tb 0.000 0.000 0.000 (multiplicity 1)
Tb 0.182 0.500 0.181 (multiplicity 2)
Tb 0.258 0.500 0.536 (multiplicity 2)
Tb 0.321 0.000 0.856 (multiplicity 2)
Er 0.219 0.000 0.367 (multiplicity 2)
Er 0.500 0.500 0.000 (multiplicity 1)
Tm 0.294 0.500 0.704 (multiplicity 2)



Record 23
HoGe2Pd | PBE | optimized geometry

Summary:
Electronic total energy (eV per atom): -5.4340
V (A^3/atom): 19.2
DOS(E_F) (states/eV/atom): 0.178

Cell lengths 7.974, 6.555, 5.867 Å; angles 90.00, 90.00, 90.00 degrees
Space group Pnma (No. 62)
Symmetry-distinct sites (fractional):
Ho 0.024 0.250 0.145 (multiplicity 4)
Ge 0.210 0.046 0.600 (multiplicity 8)
Pd 0.060 0.750 0.351 (multiplicity 4)



Record 24
AcNdGe2 | PBE | optimized geometry

Summary:
Electronic total energy (eV per atom): -5.1430
V (A^3/atom): 27.1
DOS(E_F) (states/eV/atom): 0.793

Cell lengths 4.016, 4.016, 6.714 Å; angles 90.00, 90.00, 90.00 degrees
Space group P4/mmm (No. 123)
Symmetry-distinct sites (fractional):
Ac 0.000 0.000 0.000 (multiplicity 1)
Nd 0.000 0.000 0.500 (multiplicity 1)
Ge 0.500 0.500 0.299 (multiplicity 2)